# Na2SrPb9, optimized geometry, DFT PBE-GGA
# N(E_F)	6.494	states/eV/cell
# symmetry	No. 123
# total magnetization	0.00	μB/f.u.
# formation energy	-2.2	eV per formula unit
data_Na2SrPb9
_chemical_formula_sum 'Na2 Sr1 Pb9'
_cell_length_a 4.9795
_cell_length_b 4.9795
_cell_length_c 14.8546
_cell_angle_alpha 90.00
_cell_angle_beta 90.00
_cell_angle_gamma 90.00
_space_group_name_H-M_alt 'P 1'
_space_group_IT_number 1
_space_group_name_Hall 'P 1'
loop_
_atom_site_label
_atom_site_fract_x
_atom_site_fract_y
_atom_site_fract_z
Pb1 0.0000 0.5000 0.5000
Pb2 0.5000 0.5000 0.3370
Pb3 0.5000 0.0000 0.5000
Pb4 0.5000 0.5000 0.0000
Pb5 0.5000 0.0000 0.1735
Pb6 0.5000 0.5000 0.6630
Pb7 0.0000 0.5000 0.8265
Pb8 0.5000 0.0000 0.8265
Pb9 0.0000 0.5000 0.1735
Na1 0.0000 0.0000 0.3347
Na2 0.0000 0.0000 0.6653
Sr1 0.0000 0.0000 0.0000

# NiAuSeN2, optimized geometry, DFT PBE-GGA
# N(E_F)	8.042	states/eV/cell
# symmetry	No. 123
# distance to the lowest polymorph of the same formula	661	meV/atom
# formation energy (no corrections)	1892	meV/atom
# total magnetization	0.00	μB/f.u.
data_NiAuSeN2
_chemical_formula_sum 'Ni1 Au1 Se1 N2'
_cell_length_a 3.7501
_cell_length_b 3.7501
_cell_length_c 7.0964
_cell_angle_alpha 90.00
_cell_angle_beta 90.00
_cell_angle_gamma 90.00
_space_group_name_H-M_alt 'P 1'
_space_group_IT_number 1
_space_group_name_Hall 'P 1'
loop_
_atom_site_label
_atom_site_fract_x
_atom_site_fract_y
_atom_site_fract_z
N1 0.0000 0.5000 0.0000
N2 0.5000 0.0000 0.0000
Se1 0.0000 0.0000 0.5000
Au1 0.0000 0.0000 0.0000
Ni1 0.5000 0.5000 0.5000

# KMn2PdSe, optimized geometry, DFT PBE-GGA
# N(E_F)	2.475	states/eV/cell
# symmetry	No. 123
# formation energy (no corrections)	302	meV/atom
# total magnetization	9.47	μB/f.u.
data_KMn2PdSe
_chemical_formula_sum 'K1 Mn2 Pd1 Se1'
_cell_length_a 4.9623
_cell_length_b 5.3101
_cell_length_c 4.9623
_cell_angle_alpha 90.00
_cell_angle_beta 90.00
_cell_angle_gamma 90.00
_space_group_name_H-M_alt 'P 1'
_space_group_IT_number 1
_space_group_name_Hall 'P 1'
loop_
_atom_site_label
_atom_site_fract_x
_atom_site_fract_y
_atom_site_fract_z
Se1 0.0000 0.5000 0.0000
Pd1 0.0000 0.0000 0.0000
Mn1 0.5000 0.0000 0.0000
Mn2 0.0000 0.0000 0.5000
K1 0.5000 0.5000 0.5000

# Th6TlC, optimized geometry, DFT PBE-GGA
# N(E_F)	8.771	states/eV/cell
# symmetry	No. 148
# total magnetization	0.00	μB/f.u.
# formation energy	-0.8	eV per formula unit
data_Th6TlC
_chemical_formula_sum 'Th6 Tl1 C1'
_cell_length_a 6.2207
_cell_length_b 6.2212
_cell_length_c 6.2222
_cell_angle_alpha 79.78
_cell_angle_beta 100.18
_cell_angle_gamma 79.80
_space_group_name_H-M_alt 'P 1'
_space_group_IT_number 1
_space_group_name_Hall 'P 1'
loop_
_atom_site_label
_atom_site_fract_x
_atom_site_fract_y
_atom_site_fract_z
Th1 0.0772 0.3478 0.7792
Th2 0.6522 0.2209 0.0771
Th3 0.7792 0.9231 0.6522
Th4 0.3478 0.7791 0.9229
Th5 0.9228 0.6522 0.2208
Th6 0.2208 0.0769 0.3478
C1 0.0000 0.0000 0.0000
Tl1 0.5000 0.5000 0.5000

# Na2TcO4, optimized geometry, DFT PBE-GGA
# N(E_F)	2.443	states/eV/cell
# symmetry	No. 139
# distance to the lowest polymorph of the same formula	91	meV/atom
# formation energy (no corrections)	-1519	meV/atom
# total magnetization	0.55	μB/f.u.
data_Na2TcO4
_chemical_formula_sum 'Na2 Tc1 O4'
_cell_length_a 3.8995
_cell_length_b 3.8995
_cell_length_c 6.5498
_cell_angle_alpha 72.68
_cell_angle_beta 72.68
_cell_angle_gamma 90.00
_space_group_name_H-M_alt 'P 1'
_space_group_IT_number 1
_space_group_name_Hall 'P 1'
loop_
_atom_site_label
_atom_site_fract_x
_atom_site_fract_y
_atom_site_fract_z
Tc1 0.0000 0.0000 0.0000
O1 0.1560 0.1560 0.6879
O2 0.8440 0.8440 0.3121
O3 0.5000 0.0000 0.0000
O4 0.0000 0.5000 0.0000
Na1 0.3504 0.3504 0.2992
Na2 0.6496 0.6496 0.7008

# Pm8Si5H, optimized geometry, DFT PBE-GGA
# N(E_F)	10.813	states/eV/cell
# symmetry	No. 82
# final energy	-5.4331	eV/atom
# total magnetization	0.00	μB/f.u.
data_Pm8Si5H
_chemical_formula_sum 'Pm8 Si5 H1'
_cell_length_a 7.7470
_cell_length_b 7.7470
_cell_length_c 7.7470
_cell_angle_alpha 110.78
_cell_angle_beta 106.89
_cell_angle_gamma 110.78
_space_group_name_H-M_alt 'P 1'
_space_group_IT_number 1
_space_group_name_Hall 'P 1'
loop_
_atom_site_label
_atom_site_fract_x
_atom_site_fract_y
_atom_site_fract_z
Si1 0.5000 0.0000 0.5000
Si2 0.8693 0.8757 0.2423
Si3 0.0064 0.3730 0.1307
Si4 0.3666 0.1243 0.9936
Si5 0.7577 0.6270 0.6334
Pm1 0.6058 0.8666 0.8656
Pm2 0.2607 0.2598 0.3942
Pm3 0.1344 0.7402 0.0009
Pm4 0.9991 0.1334 0.7393
Pm5 0.1139 0.7657 0.5027
Pm6 0.6518 0.3887 0.8861
Pm7 0.7369 0.2343 0.3482
Pm8 0.4973 0.6113 0.2631
H1 0.2500 0.5000 0.7500